[1]
The following is a DFT calculation (GGA-PBE) of a relaxed structure of InHg2Sb2.

Properties
Crystal system: tetragonal
Calculated total energy in eV per atom: -2.160
Formation energy from raw total energies in meV per atom: 157.7
Offset from the most stable computed form in eV per atom: 0.021

Unit cell a=4.5253 b=4.5253 c=14.5455 alpha=90.00 beta=90.00 gamma=90.00
With the nearest neighbours (Å) after each atom.
Space group I4/mmm (No. 139)
Symmetry-distinct sites (fractional):
1 In 0.0000 0.0000 0.0000 (multiplicity 2)  8 Hg 3.50
2 Hg 0.0000 0.0000 0.4026 (multiplicity 4)  1 Hg 2.83, 4 Sb 3.17
3 Sb 0.0000 0.5000 0.2500 (multiplicity 4)  4 Hg 3.17, 4 Sb 3.20

***

[2]
The following is a DFT calculation (GGA-PBE) of a relaxed structure of Sc2InHgSb.

Properties
Crystal system: tetragonal
Calculated total energy in eV per atom: -3.668
Formation energy from raw total energies in meV per atom: 296.9

Unit cell a=5.4372 b=5.4372 c=5.1298 alpha=90.00 beta=90.00 gamma=90.00
With the nearest neighbours (Å) after each atom.
Space group P4/mmm (No. 123)
Symmetry-distinct sites (fractional):
1 Sc 0.0000 0.5000 0.0000 (multiplicity 2)  2 In 2.72
2 In 0.0000 0.0000 0.0000 (multiplicity 1)  2 Hg 2.56, 4 Sc 2.72
3 Hg 0.0000 0.0000 0.5000 (multiplicity 1)  2 In 2.56
4 Sb 0.5000 0.5000 0.5000 (multiplicity 1)  8 Sc 3.74, 4 Hg 3.84

***

[3]
The following is a DFT calculation (GGA-PBE) of a relaxed structure of In2HgSbSe2.

Properties
Crystal system: orthorhombic
Calculated total energy in eV per atom: -3.042
Formation energy from raw total energies in meV per atom: -230.0

Unit cell a=15.0094 b=7.6541 c=6.9528 alpha=90.00 beta=90.00 gamma=90.00
With the nearest neighbours (Å) after each atom.
Space group Cmc2_1 (No. 36)
Symmetry-distinct sites (fractional):
1 In 0.1680 0.1463 0.0000 (multiplicity 8)  3 Se 2.70-2.75, 1 Sb 2.93
2 Hg 0.0000 0.4848 0.4721 (multiplicity 4)  2 Sb 2.83-2.86
3 Sb 0.0000 0.2062 0.2035 (multiplicity 4)  2 Hg 2.83-2.86, 2 In 2.93
4 Se 0.1791 0.1974 0.6125 (multiplicity 8)  3 In 2.70-2.75

***

[4]
The following is a DFT calculation (GGA-PBE) of a relaxed structure of In6Hg3SbSe2.

Properties
Crystal system: monoclinic
Calculated total energy in eV per atom: -2.535
Formation energy from raw total energies in meV per atom: -165.6

Unit cell a=7.2367 b=12.5723 c=7.8390 alpha=90.00 beta=108.19 gamma=90.00
With the nearest neighbours (Å) after each atom.
Space group C2/m (No. 12)
Symmetry-distinct sites (fractional):
1 In 0.2407 0.0000 0.2409 (multiplicity 4)  2 Se 2.97, 1 Sb 3.05, 3 Hg 3.06-3.13
2 In 0.2494 0.3279 0.2318 (multiplicity 8)  2 Se 2.94-2.95, 1 Sb 3.03, 3 Hg 3.05-3.17
3 Hg 0.0000 0.0000 0.5000 (multiplicity 2)  6 In 3.06-3.16
4 Hg 0.0000 0.3307 0.5000 (multiplicity 4)  6 In 3.05-3.17
5 Sb 0.0000 0.5000 0.0000 (multiplicity 2)  6 In 3.03-3.05
6 Se 0.0000 0.1646 0.0000 (multiplicity 4)  6 In 2.94-2.97

***

Number 1: DOS at the Fermi energy 0.33 states/eV/atom. Number 2: DOS at the Fermi energy 0.35 states/eV/atom. Number 3: DOS at the Fermi energy 0.22 states/eV/atom. Number 4: DOS at the Fermi energy 0.36 states/eV/atom.